# PmSm5Sc4 (PBE, optimized geometry)
# total magnetization = 0.000 Bohr magnetons per cell
# distance to the lowest polymorph of the same formula = 0 meV/atom
# calculated density = 6.0 g/cm3
data_PmSm5Sc4
_chemical_formula_sum 'Pm1 Sm5 Sc4'
_cell_length_a 3.559
_cell_length_b 3.559
_cell_length_c 23.561
_cell_angle_alpha 90.00
_cell_angle_beta 90.00
_cell_angle_gamma 90.00
_symmetry_space_group_name_H-M 'P 4/m m m'
_symmetry_Int_Tables_number 123
_symmetry_space_group_name_Hall '-P 4 2'
loop_
_atom_site_label
_atom_site_type_symbol
_atom_site_fract_x
_atom_site_fract_y
_atom_site_fract_z
Pm1 Pm 0.000 0.000 0.000
Sm1 Sm 0.500 0.500 0.111
Sm2 Sm 0.500 0.500 0.307
Sm3 Sm 0.500 0.500 0.500
Sc1 Sc 0.000 0.000 0.209
Sc2 Sc 0.000 0.000 0.403

***

# PmSm15Sc4 (PBE, optimized geometry)
# total magnetization = 0.000 Bohr magnetons per cell
# calculated density = 6.8 g/cm3
data_PmSm15Sc4
_chemical_formula_sum 'Pm1 Sm15 Sc4'
_cell_length_a 5.029
_cell_length_b 5.029
_cell_length_c 25.088
_cell_angle_alpha 90.00
_cell_angle_beta 90.00
_cell_angle_gamma 90.00
_symmetry_space_group_name_H-M 'P 4/m m m'
_symmetry_Int_Tables_number 123
_symmetry_space_group_name_Hall '-P 4 2'
loop_
_atom_site_label
_atom_site_type_symbol
_atom_site_fract_x
_atom_site_fract_y
_atom_site_fract_z
Pm1 Pm 0.000 0.000 0.000
Sm1 Sm 0.000 0.500 0.104
Sm2 Sm 0.000 0.500 0.302
Sm3 Sm 0.000 0.500 0.500
Sm4 Sm 0.500 0.500 0.000
Sm5 Sm 0.500 0.500 0.204
Sm6 Sm 0.500 0.500 0.401
Sc1 Sc 0.000 0.000 0.203
Sc2 Sc 0.000 0.000 0.401

***

# PmSmSc2 (PBE, optimized geometry)
# total magnetization = 0.000 Bohr magnetons per cell
# distance to the lowest polymorph of the same formula = 27 meV/atom
# calculated density = 5.5 g/cm3
data_PmSmSc2
_chemical_formula_sum 'Pm3 Sm3 Sc6'
_cell_length_a 3.4762
_cell_length_b 3.4762
_cell_length_c 33.2543
_cell_angle_alpha 90.00
_cell_angle_beta 90.00
_cell_angle_gamma 120.00
_symmetry_space_group_name_H-M 'R 3 m'
_symmetry_Int_Tables_number 160
_symmetry_space_group_name_Hall 'R 3 -2"'
loop_
_atom_site_label
_atom_site_type_symbol
_atom_site_fract_x
_atom_site_fract_y
_atom_site_fract_z
Pm1 Pm 0.0000 0.0000 0.0000
Sm1 Sm 0.0000 0.0000 0.1661
Sc1 Sc 0.0000 0.0000 0.5822
Sc2 Sc 0.0000 0.0000 0.7503

***

# PmSm4Sc5 (PBE, optimized geometry)
# total magnetization = 0.000 Bohr magnetons per cell
# calculated density = 5.4 g/cm3
data_PmSm4Sc5
_chemical_formula_sum 'Pm2 Sm8 Sc10'
_cell_length_a 10.167
_cell_length_b 10.167
_cell_length_c 5.774
_cell_angle_alpha 90.00
_cell_angle_beta 90.00
_cell_angle_gamma 90.00
_symmetry_space_group_name_H-M 'I 4 m m'
_symmetry_Int_Tables_number 107
_symmetry_space_group_name_Hall 'I 4 -2'
loop_
_atom_site_label
_atom_site_type_symbol
_atom_site_fract_x
_atom_site_fract_y
_atom_site_fract_z
Pm1 Pm 0.000 0.000 0.000
Sm1 Sm 0.000 0.323 0.725
Sc1 Sc 0.000 0.000 0.521
Sc2 Sc 0.190 0.190 0.278

***

# PmSm2Sc2 (PBE, optimized geometry)
# total magnetization = 0.000 Bohr magnetons per cell
# distance to the lowest polymorph of the same formula = 0 meV/atom
# calculated density = 6.0 g/cm3
data_PmSm2Sc2
_chemical_formula_sum 'Pm2 Sm4 Sc4'
_cell_length_a 10.970
_cell_length_b 4.926
_cell_length_c 7.773
_cell_angle_alpha 90.00
_cell_angle_beta 134.65
_cell_angle_gamma 90.00
_symmetry_space_group_name_H-M 'C 1 2/m 1'
_symmetry_Int_Tables_number 12
_symmetry_space_group_name_Hall '-C 2y'
loop_
_atom_site_label
_atom_site_type_symbol
_atom_site_fract_x
_atom_site_fract_y
_atom_site_fract_z
Pm1 Pm 0.000 0.000 0.000
Sm1 Sm 0.095 0.500 0.395
Sc1 Sc 0.197 0.000 0.799

***

# PmSmSc4 (PBE, optimized geometry)
# total magnetization = 0.000 Bohr magnetons per cell
# distance to the lowest polymorph of the same formula = 27 meV/atom
# calculated density = 4.8 g/cm3
data_PmSmSc4
_chemical_formula_sum 'Pm4 Sm4 Sc16'
_cell_length_a 6.582
_cell_length_b 18.637
_cell_length_c 5.375
_cell_angle_alpha 90.00
_cell_angle_beta 90.00
_cell_angle_gamma 90.00
_symmetry_space_group_name_H-M 'C m c m'
_symmetry_Int_Tables_number 63
_symmetry_space_group_name_Hall '-C 2c 2'
loop_
_atom_site_label
_atom_site_type_symbol
_atom_site_fract_x
_atom_site_fract_y
_atom_site_fract_z
Pm1 Pm 0.000 0.125 0.250
Sm1 Sm 0.000 0.375 0.750
Sc1 Sc 0.249 0.458 0.250
Sc2 Sc 0.250 0.208 0.750

***

# Pm2SmSc3 (PBE, optimized geometry)
# total magnetization = 0.000 Bohr magnetons per cell
# distance to the lowest polymorph of the same formula = 0 meV/atom
# calculated density = 5.5 g/cm3
data_Pm2SmSc3
_chemical_formula_sum 'Pm4 Sm2 Sc6'
_cell_length_a 5.029
_cell_length_b 15.094
_cell_length_c 4.573
_cell_angle_alpha 90.00
_cell_angle_beta 90.00
_cell_angle_gamma 90.00
_symmetry_space_group_name_H-M 'C m m m'
_symmetry_Int_Tables_number 65
_symmetry_space_group_name_Hall '-C 2 2'
loop_
_atom_site_label
_atom_site_type_symbol
_atom_site_fract_x
_atom_site_fract_y
_atom_site_fract_z
Pm1 Pm 0.000 0.166 0.000
Sm1 Sm 0.000 0.500 0.000
Sc1 Sc 0.000 0.000 0.500
Sc2 Sc 0.000 0.333 0.500

***

# Pm2SmSc (PBE, optimized geometry)
# total magnetization = 0.000 Bohr magnetons per cell
# distance to the lowest polymorph of the same formula = 6 meV/atom
# calculated density = 6.4 g/cm3
data_Pm2SmSc
_chemical_formula_sum 'Pm4 Sm2 Sc2'
_cell_length_a 11.687
_cell_length_b 3.572
_cell_length_c 6.124
_cell_angle_alpha 90.00
_cell_angle_beta 100.44
_cell_angle_gamma 90.00
_symmetry_space_group_name_H-M 'C 1 2/m 1'
_symmetry_Int_Tables_number 12
_symmetry_space_group_name_Hall '-C 2y'
loop_
_atom_site_label
_atom_site_type_symbol
_atom_site_fract_x
_atom_site_fract_y
_atom_site_fract_z
Pm1 Pm 0.243 0.000 0.245
Sm1 Sm 0.000 0.000 0.500
Sc1 Sc 0.000 0.500 0.000

***

no.,DFT total energy (eV/atom)
1,-5.320
2,-5.010
3,-5.456
4,-5.291
5,-5.315
6,-5.724
7,-5.485
8,-5.094